AlS2O2 | PBE-GGA | optimized geometry

Lattice parameters (Å, degrees): 6.200 6.200 3.667 90.00 90.00 90.00
Sites, in units of the cell vectors:
O: 0.198 0.302 0.500
Al: 0.500 0.500 0.000
Al: 0.000 0.000 0.000
S: 0.836 0.664 0.000
S: 0.664 0.164 0.000
O: 0.302 0.802 0.500
S: 0.336 0.836 0.000
O: 0.802 0.698 0.500
O: 0.698 0.198 0.500
S: 0.164 0.336 0.000

Summary:
ΔE_f (raw) = -2.695 kcal/mol of atoms
ΔE to the lowest computed polymorph = 0.0000 eV/atom
spin magnetization = 0.00 μB/f.u.

***

AlS2O | PBE-GGA | optimized geometry

Lattice parameters (Å, degrees): 4.195 4.195 4.195 60.00 60.00 60.00
Each line ends with the local moment (μB).
Sites, in units of the cell vectors:
S: 0.750 0.750 0.750  0.07
Al: 0.500 0.500 0.500  0.00
S: 0.250 0.250 0.250  0.07
O: 0.000 0.000 0.000  0.49

Summary:
ΔE_f (raw) = 8.946 kcal/mol of atoms
ΔE to the lowest computed polymorph = 0.7125 eV/atom
spin magnetization = 0.79 μB/f.u.

***

AlS2O | PBE-GGA | optimized geometry

Lattice parameters (Å, degrees): 6.403 6.403 6.403 32.72 32.72 32.72
Sites, in units of the cell vectors:
Al: 0.500 0.500 0.500
S: 0.098 0.098 0.098
O: 0.000 0.000 0.000
S: 0.902 0.902 0.902

Summary:
ΔE_f (raw) = -7.484 kcal/mol of atoms
ΔE to the lowest computed polymorph = 0.0000 eV/atom
spin magnetization = 0.00 μB/f.u.

***

AlS3O | PBE-GGA | optimized geometry

Lattice parameters (Å, degrees): 4.223 4.223 4.223 90.00 90.00 90.00
Sites, in units of the cell vectors:
O: 0.000 0.000 0.000
S: 0.000 0.500 0.000
S: 0.500 0.000 0.000
S: 0.000 0.000 0.500
Al: 0.500 0.500 0.500

Summary:
ΔE_f (raw) = 14.521 kcal/mol of atoms
ΔE to the lowest computed polymorph = 0.0000 eV/atom
spin magnetization = 0.00 μB/f.u.

***

AlS3O | PBE-GGA | optimized geometry

Lattice parameters (Å, degrees): 4.508 4.508 4.508 90.00 90.00 90.00
Sites, in units of the cell vectors:
S: 0.000 0.500 0.000
Al: 0.000 0.000 0.000
O: 0.500 0.500 0.500
S: 0.000 0.000 0.500
S: 0.500 0.000 0.000

Summary:
ΔE_f (raw) = 18.653 kcal/mol of atoms
ΔE to the lowest computed polymorph = 0.1792 eV/atom
spin magnetization = 0.00 μB/f.u.

***

AlS2O8 | PBE-GGA | optimized geometry

Lattice parameters (Å, degrees): 4.585 6.086 6.086 84.50 85.70 85.70
Each line ends with the local moment (μB).
Sites, in units of the cell vectors:
O: 0.697 0.642 0.642  0.17
O: 0.791 0.735 0.020  0.08
S: 0.649 0.803 0.803  -0.01
O: 0.209 0.265 0.980  0.08
O: 0.673 0.151 0.151  0.14
O: 0.327 0.849 0.849  0.14
S: 0.351 0.197 0.197  -0.01
O: 0.303 0.358 0.358  0.17
Al: 0.000 0.000 0.000  0.00
O: 0.791 0.020 0.735  0.08
O: 0.209 0.980 0.265  0.08

Summary:
ΔE_f (raw) = -33.214 kcal/mol of atoms
spin magnetization = 1.07 μB/f.u.

***

SrAlS2O8 | PBE-GGA | optimized geometry

Lattice parameters (Å, degrees): 5.016 5.016 7.057 90.00 90.00 120.00
Each line ends with the local moment (μB).
Sites, in units of the cell vectors:
Al: 0.000 0.000 0.500  0.01
O: 0.667 0.333 0.073  0.00
O: 0.333 0.667 0.927  0.00
O: 0.327 0.248 0.330  0.06
S: 0.667 0.333 0.285  0.12
O: 0.673 0.752 0.670  0.06
S: 0.333 0.667 0.715  0.12
O: 0.079 0.327 0.670  0.06
O: 0.752 0.079 0.330  0.06
O: 0.921 0.673 0.330  0.06
O: 0.248 0.921 0.670  0.06
Sr: 0.000 0.000 0.000  0.02

Summary:
ΔE_f (raw) = -40.687 kcal/mol of atoms
spin magnetization = 0.90 μB/f.u.

***

SrAl2SO | PBE-GGA | optimized geometry

Lattice parameters (Å, degrees): 4.019 7.141 4.019 90.00 90.00 90.00
Each line ends with the local moment (μB).
Sites, in units of the cell vectors:
S: 0.000 0.500 0.000  0.00
O: 0.000 0.000 0.000  0.08
Al: 0.500 0.000 0.000  0.06
Sr: 0.500 0.500 0.500  0.03
Al: 0.000 0.000 0.500  0.04

Summary:
ΔE_f (raw) = -18.971 kcal/mol of atoms
spin magnetization = 0.78 μB/f.u.

***

Ta2AlSO | PBE-GGA | optimized geometry

Lattice parameters (Å, degrees): 4.041 5.096 4.041 90.00 90.00 90.00
Sites, in units of the cell vectors:
S: 0.000 0.500 0.000
O: 0.000 0.000 0.000
Ta: 0.000 0.000 0.500
Al: 0.500 0.500 0.500
Ta: 0.500 0.000 0.000

Summary:
ΔE_f (raw) = -4.293 kcal/mol of atoms
spin magnetization = 0.00 μB/f.u.

***

AlTeS2O | PBE-GGA | optimized geometry

Lattice parameters (Å, degrees): 5.124 3.979 5.124 90.00 90.00 90.00
Sites, in units of the cell vectors:
Te: 0.000 0.000 0.000
Al: 0.500 0.500 0.500
O: 0.000 0.500 0.000
S: 0.500 0.000 0.000
S: 0.000 0.000 0.500

Summary:
ΔE_f (raw) = 1.429 kcal/mol of atoms
spin magnetization = 0.00 μB/f.u.

***

Al2SbO | PBE-GGA | optimized geometry

Lattice parameters (Å, degrees): 5.077 5.077 6.702 67.74 67.74 90.00
Sites, in units of the cell vectors:
Al: 0.490 0.125 0.250
Al: 0.260 0.625 0.250
Sb: 0.000 0.000 0.000
O: 0.500 0.500 0.000
Al: 0.875 0.740 0.750
Sb: 0.750 0.250 0.500
Al: 0.375 0.510 0.750
O: 0.250 0.750 0.500

Summary:
ΔE_f (raw) = -19.274 kcal/mol of atoms
ΔE to the lowest computed polymorph = 0.0000 eV/atom
spin magnetization = 0.00 μB/f.u.

***

AlSb3O | PBE-GGA | optimized geometry

Lattice parameters (Å, degrees): 4.779 4.779 4.779 90.00 90.00 90.00
Sites, in units of the cell vectors:
Sb: 0.500 0.000 0.000
Al: 0.500 0.500 0.500
Sb: 0.000 0.500 0.000
O: 0.000 0.000 0.000
Sb: 0.000 0.000 0.500

Summary:
ΔE_f (raw) = 1.863 kcal/mol of atoms
ΔE to the lowest computed polymorph = 0.0000 eV/atom
spin magnetization = 0.00 μB/f.u.

***

AlSbO2 | PBE-GGA | optimized geometry

Lattice parameters (Å, degrees): 6.761 6.761 6.761 25.71 25.71 25.71
Sites, in units of the cell vectors:
O: 0.118 0.118 0.118
Al: 0.500 0.500 0.500
Sb: 0.000 0.000 0.000
O: 0.882 0.882 0.882

Summary:
ΔE_f (raw) = -44.401 kcal/mol of atoms
ΔE to the lowest computed polymorph = 0.0000 eV/atom
spin magnetization = 0.00 μB/f.u.

***

AlSb3O | PBE-GGA | optimized geometry

Lattice parameters (Å, degrees): 5.176 5.176 5.176 90.00 90.00 90.00
Sites, in units of the cell vectors:
O: 0.500 0.500 0.500
Sb: 0.500 0.000 0.000
Al: 0.000 0.000 0.000
Sb: 0.000 0.000 0.500
Sb: 0.000 0.500 0.000

Summary:
ΔE_f (raw) = 22.212 kcal/mol of atoms
ΔE to the lowest computed polymorph = 0.8824 eV/atom
spin magnetization = 0.00 μB/f.u.

***

AlSbO3 | PBE-GGA | optimized geometry

Lattice parameters (Å, degrees): 4.012 4.012 4.012 90.00 90.00 90.00
Sites, in units of the cell vectors:
O: 0.500 0.000 0.000
O: 0.000 0.000 0.500
O: 0.000 0.500 0.000
Sb: 0.000 0.000 0.000
Al: 0.500 0.500 0.500

Summary:
ΔE_f (raw) = -19.537 kcal/mol of atoms
spin magnetization = 0.00 μB/f.u.

***

AlSbO2 | PBE-GGA | optimized geometry

Lattice parameters (Å, degrees): 5.197 5.197 5.702 62.89 62.89 90.00
Sites, in units of the cell vectors:
O: 0.375 0.526 0.750
Al: 0.250 0.750 0.500
O: 0.474 0.125 0.250
Sb: 0.750 0.250 0.500
O: 0.276 0.625 0.250
Al: 0.500 0.500 0.000
Sb: 0.000 0.000 0.000
O: 0.875 0.724 0.750

Summary:
ΔE_f (raw) = -39.533 kcal/mol of atoms
ΔE to the lowest computed polymorph = 0.2111 eV/atom
spin magnetization = 0.00 μB/f.u.

***

AlSbO3 | PBE-GGA | optimized geometry

Lattice parameters (Å, degrees): 3.719 3.719 3.719 90.00 90.00 90.00
Sites, in units of the cell vectors:
O: 0.000 0.000 0.500
O: 0.500 0.000 0.000
O: 0.000 0.500 0.000
Sb: 0.500 0.500 0.500
Al: 0.000 0.000 0.000

Summary:
ΔE_f (raw) = -42.577 kcal/mol of atoms
spin magnetization = 0.00 μB/f.u.

***

AlSbO3 | PBE-GGA | optimized geometry

Lattice parameters (Å, degrees): 5.486 5.059 12.232 90.00 89.99 90.00
Sites, in units of the cell vectors:
O: 0.359 0.845 0.291
Sb: 0.935 0.494 0.077
O: 0.142 0.345 0.209
Sb: 0.065 0.506 0.577
Al: 0.082 0.002 0.242
O: 0.641 0.155 0.791
Sb: 0.433 0.006 0.923
O: 0.521 0.642 0.886
Sb: 0.566 0.994 0.423
Al: 0.581 0.498 0.757
Al: 0.918 0.998 0.742
O: 0.870 0.965 0.346
O: 0.479 0.358 0.386
O: 0.369 0.535 0.654
O: 0.977 0.142 0.614
Al: 0.419 0.502 0.258
O: 0.130 0.035 0.846
O: 0.631 0.465 0.154
O: 0.023 0.858 0.114
O: 0.858 0.655 0.709

Summary:
ΔE_f (raw) = -48.703 kcal/mol of atoms
spin magnetization = 0.00 μB/f.u.

***

AlSbO2 | PBE-GGA | optimized geometry

Lattice parameters (Å, degrees): 4.214 4.214 4.214 60.00 60.00 60.00
Sites, in units of the cell vectors:
Al: 0.000 0.000 0.000
O: 0.750 0.750 0.750
Sb: 0.500 0.500 0.500
O: 0.250 0.250 0.250

Summary:
ΔE_f (raw) = -7.922 kcal/mol of atoms
ΔE to the lowest computed polymorph = 1.5819 eV/atom
spin magnetization = 0.00 μB/f.u.

***

AlSbO3 | PBE-GGA | optimized geometry

Lattice parameters (Å, degrees): 5.667 5.667 13.234 90.00 90.00 120.00
Sites, in units of the cell vectors:
O: 0.333 0.667 0.026
O: 0.316 0.000 0.198
Al: 0.667 0.333 0.266
O: 0.667 0.333 0.526
Sb: 0.000 0.297 0.982
O: 0.526 0.526 0.852
Al: 0.000 0.000 0.231
O: 0.000 0.474 0.852
O: 0.333 0.667 0.526
O: 0.526 0.000 0.352
Al: 0.000 0.000 0.731
O: 0.000 0.526 0.352
O: 0.000 0.000 0.364
O: 0.000 0.316 0.198
Al: 0.667 0.333 0.766
O: 0.684 0.684 0.198
O: 0.316 0.316 0.698
O: 0.000 0.000 0.864
Al: 0.333 0.667 0.766
Sb: 0.297 0.297 0.482
O: 0.000 0.684 0.698
O: 0.474 0.000 0.852
O: 0.474 0.474 0.352
Sb: 0.000 0.703 0.482
O: 0.684 0.000 0.698
Sb: 0.297 0.000 0.982
Sb: 0.703 0.000 0.482
Al: 0.333 0.667 0.266
Sb: 0.703 0.703 0.982
O: 0.667 0.333 0.026

Summary:
ΔE_f (raw) = -40.710 kcal/mol of atoms
spin magnetization = 0.00 μB/f.u.

***

Al5Sb3O16 | PBE-GGA | optimized geometry

Lattice parameters (Å, degrees): 7.516 7.516 4.529 89.19 89.19 101.45
Each line ends with the local moment (μB).
Sites, in units of the cell vectors:
O: 0.169 0.169 0.183  0.16
O: 0.275 0.540 0.293  0.04
Al: 0.864 0.613 0.997  0.00
O: 0.789 0.023 0.246  0.16
O: 0.084 0.592 0.793  0.12
O: 0.540 0.275 0.293  0.04
O: 0.977 0.211 0.754  0.16
O: 0.023 0.789 0.246  0.16
Sb: 0.770 0.230 0.500  -0.01
O: 0.211 0.977 0.754  0.16
O: 0.831 0.831 0.817  0.16
O: 0.916 0.408 0.207  0.12
Al: 0.136 0.387 0.003  0.00
O: 0.408 0.916 0.207  0.12
O: 0.460 0.725 0.707  0.04
Al: 0.387 0.136 0.003  0.00
Al: 0.000 0.000 0.000  -0.01
Sb: 0.230 0.770 0.500  -0.01
O: 0.351 0.351 0.808  0.04
O: 0.649 0.649 0.192  0.04
Al: 0.613 0.864 0.997  0.00
O: 0.592 0.084 0.793  0.12
O: 0.725 0.460 0.707  0.04
Sb: 0.500 0.500 0.500  0.00

Summary:
ΔE_f (raw) = -48.270 kcal/mol of atoms
spin magnetization = 1.95 μB/f.u.

***

Al2SbO6 | PBE-GGA | optimized geometry

Lattice parameters (Å, degrees): 4.539 4.539 8.884 90.00 90.00 90.00
Each line ends with the local moment (μB).
Sites, in units of the cell vectors:
O: 0.300 0.300 0.326  0.07
Al: 0.000 0.000 0.335  0.00
Sb: 0.000 0.000 0.000  -0.01
O: 0.800 0.200 0.174  0.07
Sb: 0.500 0.500 0.500  -0.01
O: 0.800 0.200 0.826  0.07
Al: 0.500 0.500 0.165  0.00
O: 0.811 0.189 0.500  0.03
O: 0.200 0.800 0.174  0.07
O: 0.700 0.700 0.326  0.07
O: 0.700 0.700 0.674  0.07
O: 0.300 0.300 0.674  0.07
O: 0.311 0.311 0.000  0.03
Al: 0.500 0.500 0.835  0.00
O: 0.689 0.689 0.000  0.03
O: 0.189 0.811 0.500  0.03
Al: 0.000 0.000 0.665  0.00
O: 0.200 0.800 0.826  0.07

Summary:
ΔE_f (raw) = -49.487 kcal/mol of atoms
spin magnetization = 0.40 μB/f.u.

***

Al2SbO | PBE-GGA | optimized geometry

Lattice parameters (Å, degrees): 4.550 4.550 4.550 60.00 60.00 60.00
Sites, in units of the cell vectors:
O: 0.000 0.000 0.000
Al: 0.750 0.750 0.750
Al: 0.250 0.250 0.250
Sb: 0.500 0.500 0.500

Summary:
ΔE_f (raw) = 1.175 kcal/mol of atoms
ΔE to the lowest computed polymorph = 0.8868 eV/atom
spin magnetization = 0.00 μB/f.u.